Density functional theory data (PBE) for a geometry-optimized KTa3Zn structure.

The space group is Pm-3m (No. 221) and the conventional cell measures 4.6276, 4.6276 and 4.6276 Å, with angles of 90.00, 90.00 and 90.00 degrees. The asymmetric unit holds K at (0.0000, 0.0000, 0.0000), Ta at (0.0000, 0.0000, 0.5000) and Zn at (0.5000, 0.5000, 0.5000).

For the calculated formation energy, the calculation gives 2958 meV/atom. The calculation puts the excess energy over the best structure of this formula in the dataset at 1114 meV/atom.

=====

Density functional theory data (PBE) for a geometry-optimized HfMnH2 structure.

The space group is Fm-3m (No. 225) and the conventional cell measures 5.3883, 5.3883 and 5.3883 Å, with angles of 90.00, 90.00 and 90.00 degrees. The asymmetric unit holds Hf at (0.0000, 0.0000, 0.0000), Mn at (0.0000, 0.0000, 0.5000) and H at (0.2500, 0.2500, 0.2500).

The calculation puts the excess energy over the best structure of this formula in the dataset at 428 meV/atom.

=====

Density functional theory data (PBE) for a geometry-optimized Pr12Nd7Th structure.

The space group is Im-3 (No. 204) and the conventional cell measures 11.7465, 11.7465 and 11.7465 Å, with angles of 90.00, 90.00 and 90.00 degrees. The asymmetric unit holds Pr at (0.0000, 0.2405, 0.2393), Nd at (0.0000, 0.0000, 0.5000), Nd at (0.2500, 0.2500, 0.2500) and Th at (0.0000, 0.0000, 0.0000).

For the calculated formation energy, the calculation gives 631 meV/atom. The calculation puts the excess energy over the best structure of this formula in the dataset at 419 meV/atom.

=====

Density functional theory data (PBE) for a geometry-optimized YNb3Tl structure.

The space group is Pm-3m (No. 221) and the conventional cell measures 4.9854, 4.9854 and 4.9854 Å, with angles of 90.00, 90.00 and 90.00 degrees. The asymmetric unit holds Y at (0.0000, 0.0000, 0.0000), Nb at (0.0000, 0.0000, 0.5000) and Tl at (0.5000, 0.5000, 0.5000).

For the calculated formation energy, the calculation gives 1886 meV/atom. The calculation puts the excess energy over the best structure of this formula in the dataset at 264 meV/atom.

=====

Density functional theory data (PBE) for a geometry-optimized HgMoPt6 structure.

The space group is P4/mmm (No. 123) and the conventional cell measures 4.0148, 4.0148 and 8.0361 Å, with angles of 90.00, 90.00 and 90.00 degrees. The asymmetric unit holds Hg at (0.0000, 0.0000, 0.0000), Mo at (0.0000, 0.0000, 0.5000), Pt at (0.0000, 0.5000, 0.2654), Pt at (0.5000, 0.5000, 0.0000) and Pt at (0.5000, 0.5000, 0.5000).

For the calculated formation energy, the calculation gives -171 meV/atom.

=====

Density functional theory data (PBE) for a geometry-optimized SiPbI2F structure.

The space group is P4/mmm (No. 123) and the conventional cell measures 6.1181, 6.1181 and 3.8826 Å, with angles of 90.00, 90.00 and 90.00 degrees. The asymmetric unit holds Si at (0.0000, 0.0000, 0.0000), Pb at (0.5000, 0.5000, 0.0000), I at (0.0000, 0.5000, 0.5000) and F at (0.0000, 0.0000, 0.5000).

The calculation puts the total energy at -3.146 eV per atom.

=====

Density functional theory data (PBE) for a geometry-optimized Sc3ZnAg structure.

The space group is Pm-3m (No. 221) and the conventional cell measures 5.0301, 5.0301 and 5.0301 Å, with angles of 90.00, 90.00 and 90.00 degrees. The asymmetric unit holds Sc at (0.0000, 0.0000, 0.5000), Zn at (0.0000, 0.0000, 0.0000) and Ag at (0.5000, 0.5000, 0.5000).

For the calculated formation energy, the calculation gives 330 meV/atom. The calculation puts the excess energy over the best structure of this formula in the dataset at 557 meV/atom.

=====

Density functional theory data (PBE) for a geometry-optimized Rb2TlSiF6 structure.

The space group is I4/mmm (No. 139) and the conventional cell measures 6.3425, 6.3425 and 10.5385 Å, with angles of 90.00, 90.00 and 90.00 degrees. The asymmetric unit holds Rb at (0.0000, 0.5000, 0.2500), Tl at (0.0000, 0.0000, 0.0000), Si at (0.0000, 0.0000, 0.5000), F at (0.0000, 0.0000, 0.3371) and F at (0.1922, 0.1922, 0.5000).

The calculation puts the excess energy over the best structure of this formula in the dataset at 0 meV/atom.

=====

Density functional theory data (PBE) for a geometry-optimized K2CuSn2 structure.

The space group is P4/mbm (No. 127) and the conventional cell measures 7.1198, 7.1198 and 6.0032 Å, with angles of 90.00, 90.00 and 90.00 degrees. The asymmetric unit holds K at (0.1751, 0.3249, 0.0000), Cu at (0.0000, 0.0000, 0.5000) and Sn at (0.1473, 0.6473, 0.5000).

For the calculated formation energy, the calculation gives -14 meV/atom.